! SrLi6AlZn PBE relaxed; values from VASP
&SYSTEM
  ibrav = 0, nat = 18, ntyp = 4
/
ATOMIC_SPECIES
Sr 87.62 Sr.upf
Li 6.94 Li.upf
Al 26.98 Al.upf
Zn 65.41 Zn.upf
ATOMIC_POSITIONS angstrom
Sr -4.434 -0.125 -1.698
Sr -2.610 -3.486 -1.851
Li -4.806 0.551 -6.865
Li -0.506 -0.167 -2.486
Li -5.233 1.672 1.227
Li -2.992 -0.907 -4.817
Li -1.882 -0.554 0.694
Li -6.343 1.319 -4.285
Li -2.238 -4.163 3.316
Li -6.538 -3.444 -1.062
Li -1.811 -5.283 -4.776
Li -4.052 -2.705 1.269
Li -5.162 -3.057 -4.243
Li -0.700 -4.931 0.736
Al -2.520 -1.488 3.202
Al 0.264 -3.336 2.759
Zn -3.785 1.530 -4.534
Zn -2.783 1.848 0.442
CELL_PARAMETERS angstrom
-5.566 3.697 0.885
-2.005 -0.636 -9.952
0.527 -6.672 5.519
! D(E_F) (states/eV per atom): 0.40
! V (Å³/cell): 422.8
! ΔH_f (0 K) (eV/atom): 0.083
! Space group: Imma (74)


! Sr2LiAl3Zn4 PBE relaxed; values from VASP
&SYSTEM
  ibrav = 0, nat = 10, ntyp = 4
/
ATOMIC_SPECIES
Sr 87.62 Sr.upf
Li 6.94 Li.upf
Al 26.98 Al.upf
Zn 65.41 Zn.upf
ATOMIC_POSITIONS angstrom
Sr 2.279 0.000 2.534
Sr 0.000 2.279 7.812
Li 2.279 2.279 5.173
Al 0.000 0.000 5.173
Al 2.279 0.000 9.001
Al 0.000 2.279 1.344
Zn 2.279 2.279 0.000
Zn 0.000 0.000 0.000
Zn 2.279 0.000 6.437
Zn 0.000 2.279 3.909
CELL_PARAMETERS angstrom
4.557 0.000 0.000
0.000 4.557 0.000
0.000 0.000 10.346
! D(E_F) (states/eV per atom): 0.42
! V (Å³/cell): 214.9
! ΔH_f (0 K) (eV/atom): -0.221
! Space group: P-4m2 (115)


! SrLiAlZn PBE relaxed; values from VASP
&SYSTEM
  ibrav = 0, nat = 4, ntyp = 4
/
ATOMIC_SPECIES
Sr 87.62 Sr.upf
Zn 65.41 Zn.upf
Al 26.98 Al.upf
Li 6.94 Li.upf
ATOMIC_POSITIONS angstrom
Sr 2.478 1.430 1.011
Zn 0.000 0.000 0.000
Al 7.433 4.291 3.034
Li 4.955 2.861 2.023
CELL_PARAMETERS angstrom
4.955 0.000 0.000
2.478 4.291 0.000
2.478 1.430 4.046
! D(E_F) (states/eV per atom): 0.32
! V (Å³/cell): 86.0
! ΔH_f (0 K) (eV/atom): -0.134
! Space group: F-43m (216)


! SrLiAl2Zn4 PBE relaxed; values from VASP
&SYSTEM
  ibrav = 0, nat = 8, ntyp = 4
/
ATOMIC_SPECIES
Sr 87.62 Sr.upf
Li 6.94 Li.upf
Al 26.98 Al.upf
Zn 65.41 Zn.upf
ATOMIC_POSITIONS angstrom
Sr 0.000 0.000 0.000
Li 4.396 2.538 4.534
Al 6.595 3.807 6.445
Al 2.198 1.269 2.623
Zn 4.396 2.538 7.086
Zn 6.595 3.807 3.623
Zn 2.198 1.269 5.445
Zn 4.396 2.538 1.982
CELL_PARAMETERS angstrom
4.396 0.000 0.000
2.198 3.807 0.000
2.198 1.269 9.068
! D(E_F) (states/eV per atom): 0.26
! V (Å³/cell): 151.8
! ΔH_f (0 K) (eV/atom): -0.172
! Space group: R-3m (166)